(1)
# Ir2RuPt

Ir2RuPt after structural relaxation (GGA-PBEsol, Alexandria via LeMat-Bulk).

Unit cell a=3.825 b=3.825 c=7.687 alpha=90.00 beta=90.00 gamma=90.00
Fractional coordinates of all 8 atoms:
Ir1 0.000 0.500 0.250
Ir2 0.000 0.500 0.750
Ir3 0.500 0.000 0.250
Ir4 0.500 0.000 0.750
Ru1 0.000 0.000 0.000
Ru2 0.500 0.500 0.500
Pt1 0.000 0.000 0.500
Pt2 0.500 0.500 0.000

Crystal system: tetragonal
Electronic total energy in eV for the cell shown: -73.4
Volume in Å³ per cell: 112.4
Relative energy among the computed polymorphs in eV/f.u.: 0.09
SG: I4/mmm (139)
Size of the total moment in μB/cell: 0.00

=====

(2)
# CoBr

CoBr after structural relaxation (GGA-PBEsol, Alexandria via LeMat-Bulk).

Unit cell a=3.660 b=3.660 c=5.990 alpha=90.00 beta=90.00 gamma=90.00
Fractional coordinates of all 4 atoms:
Co1 0.250 0.750 0.000
Co2 0.750 0.250 0.000
Br1 0.250 0.250 0.261
Br2 0.750 0.750 0.739

Crystal system: tetragonal
Electronic total energy in eV for the cell shown: -18.7
ΔE_f (raw) in kJ/mol of formula units: 23
Volume in Å³ per cell: 80.2
Relative energy among the computed polymorphs in eV/f.u.: 0.00
SG: P4/nmm (129)
Size of the total moment in μB/cell: 4.00